(1)
Compound: MoP2O7
Source: Alexandria via LeMat-Bulk
Functional: SCAN
Structure: PBEsol geometry

Unit cell a=4.628 b=5.172 c=5.172 alpha=100.21 beta=97.70 gamma=97.70
Positions (direct):
1 P 0.586 0.336 0.265
2 P 0.414 0.735 0.664
3 O 0.275 0.846 0.433
4 O 0.199 0.672 0.853
5 O 0.801 0.147 0.328
6 O 0.725 0.567 0.154
7 O 0.703 0.915 0.804
8 O 0.297 0.196 0.085
9 O 0.500 0.451 0.549
10 Mo 0.000 0.886 0.114

Values from the calculation:
- DOS(E_F) (states/eV/f.u.) = 1.580
- mass density (g cm⁻³) = 3.76
- raw formation energy (meV/atom) = -2268.9
- E above lowest polymorph (meV per atom) = 20
- SG = No. 5

---

(2)
Compound: MoP4O13
Source: Alexandria via LeMat-Bulk
Functional: SCAN
Structure: PBEsol geometry

Unit cell a=7.071 b=8.175 c=16.605 alpha=90.00 beta=90.00 gamma=90.00
Positions (direct):
1 O 0.556 0.192 0.352
2 O 0.580 0.691 0.697
3 O 0.082 0.788 0.142
4 O 0.163 0.521 0.221
5 O 0.609 0.078 0.924
6 O 0.168 0.492 0.405
7 O 0.723 0.322 0.597
8 O 0.579 0.175 0.193
9 O 0.652 0.460 0.278
10 O 0.252 0.762 0.692
11 O 0.152 0.040 0.722
12 O 0.627 0.553 0.425
13 O 0.059 0.067 0.921
14 O 0.832 0.992 0.095
15 O 0.373 0.053 0.075
16 O 0.582 0.712 0.858
17 O 0.337 0.479 0.721
18 O 0.006 0.789 0.998
19 O 0.748 0.262 0.808
20 O 0.668 0.008 0.595
21 O 0.918 0.288 0.358
22 O 0.944 0.808 0.852
23 O 0.752 0.738 0.308
24 O 0.873 0.447 0.925
25 O 0.837 0.021 0.279
26 O 0.080 0.809 0.303
27 O 0.109 0.422 0.076
28 O 0.223 0.178 0.403
29 O 0.420 0.191 0.803
30 O 0.891 0.922 0.424
31 O 0.994 0.289 0.502
32 O 0.444 0.692 0.148
33 O 0.348 0.960 0.222
34 O 0.941 0.567 0.579
35 O 0.079 0.325 0.807
36 O 0.494 0.211 0.498
37 O 0.391 0.578 0.576
38 O 0.921 0.825 0.693
39 O 0.332 0.508 0.905
40 O 0.421 0.675 0.307
41 O 0.848 0.540 0.778
42 O 0.127 0.947 0.575
43 O 0.248 0.238 0.192
44 O 0.663 0.979 0.779
45 O 0.418 0.212 0.642
46 O 0.777 0.678 0.097
47 O 0.441 0.933 0.421
48 O 0.506 0.711 0.002
49 O 0.920 0.309 0.197
50 O 0.559 0.433 0.079
51 O 0.056 0.308 0.648
52 O 0.277 0.822 0.903
53 P 0.432 0.111 0.420
54 P 0.388 0.101 0.159
55 P 0.890 0.878 0.339
56 P 0.610 0.122 0.839
57 P 0.612 0.601 0.341
58 P 0.568 0.611 0.080
59 P 0.916 0.831 0.084
60 P 0.084 0.331 0.416
61 P 0.112 0.899 0.659
62 P 0.416 0.669 0.916
63 P 0.932 0.389 0.580
64 P 0.110 0.378 0.161
65 P 0.390 0.622 0.661
66 P 0.068 0.889 0.920
67 P 0.888 0.399 0.841
68 P 0.584 0.169 0.584
69 Mo 0.757 0.760 0.773
70 Mo 0.743 0.240 0.273
71 Mo 0.257 0.740 0.227
72 Mo 0.243 0.260 0.727

Values from the calculation:
- DOS(E_F) (states/eV/f.u.) = 0.000
- mass density (g cm⁻³) = 2.96
- raw formation energy (meV/atom) = -2120.2
- SG = No. 19

---

(3)
Compound: MoP4O12
Source: Alexandria via LeMat-Bulk
Functional: SCAN
Structure: PBEsol geometry

Unit cell a=7.366 b=7.366 c=9.785 alpha=100.45 beta=107.37 gamma=111.25
Positions (direct):
1 O 0.498 0.142 0.400
2 O 0.695 0.233 0.836
3 O 0.212 0.503 0.467
4 O 0.305 0.767 0.164
5 O 0.684 0.830 0.326
6 O 0.788 0.497 0.533
7 O 0.406 0.476 0.153
8 O 0.897 0.859 0.664
9 O 0.537 0.746 0.033
10 O 0.177 0.747 0.653
11 O 0.594 0.524 0.847
12 O 0.151 0.796 0.397
13 O 0.101 0.245 0.897
14 O 0.823 0.253 0.347
15 O 0.502 0.858 0.600
16 O 0.996 0.642 0.826
17 O 0.316 0.170 0.674
18 O 0.757 0.902 0.900
19 O 0.849 0.204 0.603
20 O 0.103 0.141 0.336
21 O 0.243 0.098 0.100
22 O 0.463 0.254 0.967
23 O 0.004 0.358 0.174
24 O 0.899 0.755 0.103
25 P 0.963 0.688 0.684
26 P 0.037 0.312 0.316
27 P 0.715 0.740 0.974
28 P 0.496 0.721 0.184
29 P 0.734 0.260 0.474
30 P 0.266 0.740 0.526
31 P 0.285 0.260 0.026
32 P 0.504 0.279 0.816
33 Mo 0.199 0.949 0.250
34 Mo 0.801 0.051 0.750

Values from the calculation:
- DOS(E_F) (states/eV/f.u.) = 0.350
- mass density (g cm⁻³) = 3.06
- raw formation energy (meV/atom) = -2230.3
- SG = No. 15

---

(4)
Compound: MoP2O7
Source: Alexandria via LeMat-Bulk
Functional: SCAN
Structure: PBEsol geometry

Unit cell a=6.396 b=6.396 c=13.082 alpha=101.61 beta=102.04 gamma=99.31
Positions (direct):
1 O 0.100 0.063 0.324
2 O 0.134 0.473 0.377
3 O 0.559 0.175 0.647
4 O 0.866 0.527 0.623
5 O 0.806 0.400 0.013
6 O 0.017 0.626 0.195
7 O 0.369 0.947 0.134
8 O 0.739 0.276 0.176
9 O 0.387 0.294 0.487
10 O 0.431 0.322 0.305
11 O 0.569 0.678 0.695
12 O 0.588 0.788 0.010
13 O 0.900 0.937 0.676
14 O 0.194 0.600 0.987
15 O 0.528 0.412 0.853
16 O 0.777 0.077 0.490
17 O 0.472 0.588 0.147
18 O 0.095 0.257 0.123
19 O 0.613 0.706 0.513
20 O 0.187 0.266 0.634
21 O 0.983 0.374 0.805
22 O 0.631 0.053 0.866
23 O 0.441 0.825 0.353
24 O 0.905 0.743 0.877
25 O 0.412 0.212 0.990
26 O 0.261 0.724 0.824
27 O 0.813 0.734 0.366
28 O 0.223 0.923 0.510
29 P 0.584 0.262 0.927
30 P 0.256 0.287 0.368
31 P 0.665 0.843 0.427
32 P 0.919 0.388 0.132
33 P 0.335 0.157 0.573
34 P 0.081 0.612 0.868
35 P 0.744 0.713 0.632
36 P 0.416 0.738 0.073
37 Mo 0.879 0.230 0.647
38 Mo 0.583 0.731 0.853
39 Mo 0.121 0.770 0.353
40 Mo 0.417 0.269 0.147

Values from the calculation:
- DOS(E_F) (states/eV/f.u.) = 0.902
- mass density (g cm⁻³) = 3.58
- raw formation energy (meV/atom) = -2273.7
- E above lowest polymorph (meV per atom) = 16
- SG = No. 15

---

(5)
Compound: MoP2PbO8
Source: Alexandria via LeMat-Bulk
Functional: SCAN
Structure: PBEsol geometry

Unit cell a=6.551 b=10.030 c=10.030 alpha=90.53 beta=98.34 gamma=98.34
Positions (direct):
1 P 0.302 0.017 0.209
2 P 0.802 0.209 0.017
3 P 0.462 0.493 0.762
4 P 0.538 0.507 0.238
5 P 0.038 0.238 0.507
6 P 0.698 0.983 0.791
7 P 0.198 0.791 0.983
8 P 0.962 0.762 0.493
9 O 0.167 0.327 0.416
10 O 0.135 0.869 0.573
11 O 0.667 0.416 0.327
12 O 0.582 0.409 0.680
13 O 0.001 0.706 0.017
14 O 0.635 0.573 0.869
15 O 0.250 0.132 0.868
16 O 0.301 0.406 0.838
17 O 0.082 0.680 0.409
18 O 0.330 0.160 0.157
19 O 0.499 0.983 0.294
20 O 0.865 0.131 0.427
21 O 0.333 0.584 0.673
22 O 0.999 0.294 0.983
23 O 0.170 0.843 0.840
24 O 0.250 0.923 0.077
25 O 0.365 0.427 0.131
26 O 0.418 0.591 0.320
27 O 0.833 0.673 0.584
28 O 0.199 0.162 0.594
29 O 0.750 0.868 0.132
30 O 0.801 0.838 0.406
31 O 0.501 0.017 0.706
32 O 0.670 0.840 0.843
33 O 0.750 0.077 0.923
34 O 0.918 0.320 0.591
35 O 0.877 0.011 0.710
36 O 0.830 0.157 0.160
37 O 0.699 0.594 0.162
38 O 0.377 0.710 0.011
39 O 0.123 0.989 0.290
40 O 0.623 0.290 0.989
41 Pb 0.458 0.742 0.511
42 Pb 0.042 0.489 0.258
43 Pb 0.542 0.258 0.489
44 Pb 0.958 0.511 0.742
45 Mo 0.811 0.990 0.275
46 Mo 0.311 0.275 0.990
47 Mo 0.189 0.010 0.725
48 Mo 0.689 0.725 0.010

Values from the calculation:
- mass density (g cm⁻³) = 5.08
- raw formation energy (meV/atom) = -2230.3
- SG = No. 15

---

(6)
Compound: Rb2MoP2O9
Source: Alexandria via LeMat-Bulk
Functional: SCAN
Structure: PBEsol geometry

Unit cell a=8.223 b=8.223 c=15.693 alpha=82.80 beta=82.80 gamma=60.12
Positions (direct):
1 O 0.836 0.308 0.980
2 O 0.538 0.174 0.684
3 O 0.283 0.154 0.388
4 O 0.967 0.788 0.895
5 O 0.861 0.035 0.083
6 O 0.035 0.861 0.583
7 O 0.900 0.863 0.247
8 O 0.154 0.283 0.888
9 O 0.965 0.139 0.417
10 O 0.322 0.627 0.873
11 O 0.863 0.900 0.747
12 O 0.717 0.846 0.612
13 O 0.212 0.033 0.605
14 O 0.373 0.678 0.627
15 O 0.788 0.967 0.395
16 O 0.308 0.836 0.480
17 O 0.860 0.207 0.646
18 O 0.627 0.322 0.373
19 O 0.137 0.100 0.253
20 O 0.050 0.378 0.624
21 O 0.378 0.050 0.124
22 O 0.174 0.538 0.184
23 O 0.139 0.965 0.917
24 O 0.950 0.622 0.376
25 O 0.846 0.717 0.112
26 O 0.692 0.164 0.520
27 O 0.622 0.950 0.876
28 O 0.100 0.137 0.753
29 O 0.164 0.692 0.020
30 O 0.678 0.373 0.127
31 O 0.826 0.462 0.816
32 O 0.140 0.793 0.354
33 O 0.462 0.826 0.316
34 O 0.033 0.212 0.105
35 O 0.793 0.140 0.854
36 O 0.207 0.860 0.146
37 P 0.798 0.956 0.842
38 P 0.770 0.158 0.424
39 P 0.842 0.230 0.076
40 P 0.202 0.044 0.158
41 P 0.230 0.842 0.576
42 P 0.956 0.798 0.342
43 P 0.044 0.202 0.658
44 P 0.158 0.770 0.924
45 Rb 0.439 0.275 0.979
46 Rb 0.807 0.489 0.261
47 Rb 0.489 0.807 0.761
48 Rb 0.561 0.725 0.021
49 Rb 0.725 0.561 0.521
50 Rb 0.511 0.193 0.239
51 Rb 0.275 0.439 0.479
52 Rb 0.193 0.511 0.739
53 Mo 0.250 0.975 0.365
54 Mo 0.975 0.250 0.865
55 Mo 0.750 0.025 0.635
56 Mo 0.025 0.750 0.135

Values from the calculation:
- DOS(E_F) (states/eV/f.u.) = 0.000
- mass density (g cm⁻³) = 3.45
- raw formation energy (meV/atom) = -2423.5
- SG = No. 15